[1]
4
Lattice="-3.321 3.641 -0.695 -4.870 -1.020 0.106 -2.792 1.582 3.804" Properties=species:S:1:pos:R:3 comment="PmScZnGa (PBE-GGA, relaxed)" spacegroup="F-43m (216)" final_energy_ev_per_atom=-4.303 pbc="T T T"
Sc -5.491 2.102 1.608
Zn -8.237 3.152 2.411
Ga -2.746 1.051 0.804
Pm 0.000 0.000 0.000



[2]
11
Lattice="5.532 0.000 0.000 -2.766 4.791 0.000 0.000 0.000 8.355" Properties=species:S:1:pos:R:3 comment="Rb2TbC2O6 (PBE-GGA, relaxed)" spacegroup="P-3m1 (164)" e_form_raw_ev_per_atom=-1.90 pbc="T T T"
Rb 2.766 1.597 5.775
Rb 0.000 3.194 2.580
Tb 0.000 0.000 0.000
C 0.000 3.194 7.142
C 2.766 1.597 1.213
O 0.000 1.895 7.111
O 1.125 3.843 7.111
O -1.124 3.843 7.111
O 2.766 2.895 1.244
O 1.641 0.948 1.244
O 3.890 0.948 1.244



[3]
12
Lattice="-4.480 5.503 -2.473 -7.057 1.901 -4.778 -7.886 5.037 6.308" Properties=species:S:1:pos:R:3 comment="Cd3InBi2 (PBE-GGA, relaxed)" spacegroup="P-1 (2)" final_energy_ev_per_atom=-2.158 pbc="T T T"
Cd -9.147 5.519 -3.061
Cd -10.275 6.922 2.119
Cd -5.957 5.069 -3.003
Cd -4.917 2.825 1.430
Cd -14.505 9.616 -2.373
Cd -13.465 7.372 2.061
In -7.802 4.514 2.704
In -11.620 7.927 -3.646
Bi -11.946 6.684 -0.574
Bi -3.820 3.023 -1.649
Bi -15.602 9.418 0.706
Bi -7.477 5.757 -0.369



[4]
4
Lattice="-5.714 -3.181 5.466 -6.829 -4.388 2.600 -4.409 -5.949 4.220" Properties=species:S:1:pos:R:3 comment="IOF2 (PBE-GGA, relaxed)" spacegroup="R-3m (166)" e_above_lowest_polymorph_mev_per_atom=1255 e_form_raw_ev_per_atom=0.31 pbc="T T T"
I -8.476 -6.759 6.143
O 0.000 0.000 0.000
F -15.847 -12.637 11.486
F -1.104 -0.881 0.800



no.,mass density (kg/m3)
1,6193
2,3374
3,8456
4,3825